Compound: PrMnP2O8
Source: Alexandria via LeMat-Bulk
Functional: PBE+U
Structure: relaxed

a b c (Å): 4.977 4.977 6.822
angles (deg): 90.00 90.00 120.00
Site moments in Bohr magnetons follow the coordinates.
Element x y z (fractional)
1 O 0.091 0.334 0.687  -0.01
2 O 0.667 0.333 0.022  -0.01
3 Pr 0.000 0.000 0.000  0.01
4 O 0.243 0.909 0.687  -0.01
5 O 0.334 0.243 0.313  -0.01
6 P 0.333 0.667 0.752  0.00
7 O 0.757 0.091 0.313  -0.01
8 O 0.666 0.757 0.687  -0.01
9 P 0.667 0.333 0.248  0.00
10 O 0.909 0.666 0.313  -0.01
11 Mn 0.000 0.000 0.500  1.98
12 O 0.333 0.667 0.978  -0.01

V: 12.193 Å³/atom
crystal system: trigonal
final energy: -90.52 eV per cell